Material: CeTm4Sc
Method: DFT, PBE
State: relaxed

a = 5.539 Å, b = 9.277 Å, c = 9.277 Å
α = 21.76°, β = 90.00°, γ = 90.00°
Element x y z (fractional)
1 Ce 0.000 0.000 0.000
2 Tm 0.000 0.329 0.329
3 Tm 0.000 0.666 0.666
4 Tm 0.500 0.556 0.556
5 Tm 0.500 0.884 0.884
6 Sc 0.500 0.221 0.221

Properties
The calculation puts the relative energy among the computed polymorphs at 5 meV/atom. For the total energy, the calculation gives -4.97 eV per atom. As for the space group: No. 38. For the formation enthalpy at 0 K, the calculation gives 0.06 eV per atom. The value obtained for the calculated density is 8087 kg/m³.

=====

Material: AcPrDyHo
Method: DFT, PBE
State: relaxed

a = 5.876 Å, b = 5.876 Å, c = 5.876 Å
α = 60.00°, β = 60.00°, γ = 60.00°
Element x y z (fractional)
1 Ac 0.000 0.000 0.000
2 Pr 0.500 0.500 0.500
3 Dy 0.750 0.750 0.750
4 Ho 0.250 0.250 0.250

Properties
The calculation puts the relative energy among the computed polymorphs at 62 meV/atom. For the total energy, the calculation gives -4.41 eV per atom. As for the space group: No. 216. For the formation enthalpy at 0 K, the calculation gives 0.11 eV per atom. The value obtained for the calculated density is 8046 kg/m³.

=====

Material: Pm3SmTl2
Method: DFT, PBE
State: relaxed

a = 8.924 Å, b = 8.924 Å, c = 9.520 Å
α = 119.33°, β = 119.33°, γ = 35.44°
Element x y z (fractional)
1 Pm 0.057 0.057 0.215
2 Pm 0.305 0.305 0.499
3 Pm 0.381 0.381 0.951
4 Pm 0.619 0.619 0.049
5 Pm 0.695 0.695 0.501
6 Pm 0.943 0.943 0.785
7 Sm 0.128 0.128 0.673
8 Sm 0.872 0.872 0.327
9 Tl 0.227 0.227 0.091
10 Tl 0.481 0.481 0.329
11 Tl 0.519 0.519 0.671
12 Tl 0.773 0.773 0.909

Properties
The calculation puts the relative energy among the computed polymorphs at 104 meV/atom. For the total energy, the calculation gives -4.12 eV per atom. As for the space group: No. 12. For the formation enthalpy at 0 K, the calculation gives -0.17 eV per atom. The value obtained for the calculated density is 8757 kg/m³.

=====

Material: LaIn2As
Method: DFT, PBE
State: relaxed

a = 6.462 Å, b = 6.462 Å, c = 6.462 Å
α = 143.53°, β = 138.08°, γ = 56.75°
Element x y z (fractional)
1 La 0.000 0.000 0.000
2 In 0.272 0.772 0.500
3 In 0.728 0.228 0.500
4 As 0.500 0.500 0.000

Properties
For the total energy, the calculation gives -4.37 eV per atom. As for the space group: No. 71. For the formation enthalpy at 0 K, the calculation gives -0.60 eV per atom. The value obtained for the calculated density is 6928 kg/m³.